Al2FeTc: relaxed, GGA-PBEsol.

CIF file:
```
data_Al2FeTc
_symmetry_space_group_name_H-M 'P 1'
_symmetry_Int_Tables_number 1
_symmetry_space_group_name_Hall 'P 1'
_cell_length_a 2.6635
_cell_length_b 4.4275
_cell_length_c 4.7993
_cell_angle_alpha 99.29
_cell_angle_beta 90.00
_cell_angle_gamma 107.51
loop_
_atom_site_label
_atom_site_type_symbol
_atom_site_fract_x
_atom_site_fract_y
_atom_site_fract_z
Al1 Al 0.7542 0.5085 0.7568
Al2 Al 0.2458 0.4915 0.2432
Tc1 Tc 0.0000 0.0000 0.5000
Fe1 Fe 0.5000 0.0000 0.0000
```

Summary:
Its size of the total moment is 1.9 Bohr magnetons per cell. The volume comes out at 13.30 Å³/atom. Its energy above the lowest structure with this stoichiometry is 153 meV/atom. The calculation puts the formation enthalpy at 0 K at -0.12 eV per atom.